Record 1
Ba3Tl3Cd8 | Alexandria | PBE-GGA | optimized geometry; density = 7.52 g cm⁻³; crystal system = orthorhombic; space group = Immm; calculated formation energy = -26.3 kJ per mole of atoms; total magnetic moment = 0.00 μB per formula unit
1.0
5.2900 0.0000 0.0000
2.6450 9.2863 0.4851
2.6450 2.9950 8.8034
Cd Tl Ba
8 3 3
Direct
0.1656 0.4729 0.1959
0.6452 0.0811 0.6286
0.8344 0.8041 0.5271
0.8344 0.5271 0.8041
0.3548 0.9189 0.3714
0.3548 0.3714 0.9189
0.1656 0.1959 0.4729
0.6452 0.6286 0.0811
0.0000 0.1990 0.8010
0.0000 0.8010 0.1990
0.5000 0.0000 0.0000
0.5000 0.5000 0.5000
0.8038 0.1962 0.1962
0.1962 0.8038 0.8038


Record 2
Ba5AuN | Alexandria | PBE-GGA | optimized geometry; density = 3.94 g cm⁻³; ΔE_f (raw) = -2.41 eV/f.u.; crystal system = triclinic; space group = P-1; total magnetic moment = 0.00 μB per formula unit
1.0
8.0351 0.3935 -2.5201
-1.8396 7.8389 -2.5538
-0.3997 -0.2530 12.1027
Ba N Au
10 2 2
Direct
0.7305 0.6248 0.9286
0.6471 0.1112 0.8376
0.2676 0.3778 0.0701
0.3510 0.8913 0.1612
0.2690 0.3107 0.6617
0.7292 0.6918 0.3370
0.3075 0.6989 0.4302
0.6907 0.3034 0.5685
0.0800 0.8323 0.7492
0.9181 0.1702 0.2495
0.4062 0.6576 0.2497
0.5919 0.3449 0.7490
0.9990 0.5012 0.4993
0.9991 0.0013 0.9994


Record 3
Nd12SmSn3 | Alexandria | PBE-GGA | optimized geometry; density = 7.36 g cm⁻³; crystal system = tetragonal; space group = P4/mmm; calculated formation energy = -31.1 kJ per mole of atoms; total magnetic moment = 0.00 μB per formula unit
1.0
4.9828 0.0000 0.0000
0.0000 4.9828 0.0000
0.0000 0.0000 20.3199
Nd Sn Sm
12 3 1
Direct
0.0000 0.5000 0.8659
0.0000 0.5000 0.3789
0.5000 0.5000 0.0000
0.5000 0.5000 0.2579
0.5000 0.5000 0.7421
0.5000 0.0000 0.3789
0.0000 0.5000 0.6211
0.5000 0.0000 0.8659
0.0000 0.5000 0.1341
0.5000 0.0000 0.1341
0.5000 0.0000 0.6211
0.5000 0.5000 0.5000
0.0000 0.0000 0.2561
0.0000 0.0000 0.5000
0.0000 0.0000 0.7439
0.0000 0.0000 0.0000